## TlGa4 (PBE)

Data for TlGa4 after structural relaxation.

E_tot = -14.458 eV per cell
space-group type = I4/mmm, No. 139
N(E_F) = 2.16 states/eV per cell
energy of formation = 0.003 eV per atom
distance to the lowest polymorph of the same formula = 0 meV per atom

a b c (Å): 4.4004 4.4004 6.4726
angles (deg): 109.87 109.87 90.00
Fractional positions:
1 Tl 0.0000 0.0000 0.0000
2 Ga 0.7500 0.2500 0.5000
3 Ga 0.2500 0.7500 0.5000
4 Ga 0.6127 0.6127 0.2255
5 Ga 0.3873 0.3873 0.7745